No. 1
Computed, not measured: crystalline GaBW3 at its relaxed geometry at the GGA-PBE level of DFT.

POSCAR file:
```
GaBW3
1.0
4.206 0.000 0.000
0.000 4.206 0.000
0.000 0.000 4.206
W Ga B
3 1 1
direct
0.000 0.000 0.500
0.000 0.500 0.000
0.500 0.000 0.000
0.500 0.500 0.500
0.000 0.000 0.000
```

Values from the calculation:
Its formation energy from the elements is 0.405 eV/atom. The density of states at the Fermi level is 0.746 states/eV per atom.



No. 2
Computed, not measured: crystalline GaB3W at its relaxed geometry at the GGA-PBE level of DFT.

POSCAR file:
```
GaB3W
1.0
4.252 0.000 0.000
0.000 4.252 0.000
0.000 0.000 4.252
B W Ga
3 1 1
direct
0.500 0.000 0.000
0.000 0.000 0.500
0.000 0.500 0.000
0.000 0.000 0.000
0.500 0.500 0.500
```

Values from the calculation:
Its formation energy from the elements is 1.275 eV/atom. The density of states at the Fermi level is 0.452 states/eV per atom.



Number 1: excess energy over the best structure of this formula in the dataset 0 kJ/mol of formula units, total DFT energy (no corrections) -46.541 eV per formula unit, V 14.88 A^3/atom. Number 2: excess energy over the best structure of this formula in the dataset 0 kJ/mol of formula units, total DFT energy (no corrections) -29.638 eV per formula unit, V 15.37 A^3/atom.